Record 1
First-principles (PBE) data for a relaxed structure of LaSnBi2, as listed in Alexandria.

Total magnetization (μB/cell): 0.000
Density of states at the Fermi level (states/eV/f.u.): 2.16
Calculated total energy (eV per formula unit): -17.1
ΔE_f (eV/atom): -0.092

Cell lengths 7.445, 7.445, 13.502 Å; angles 90.00, 90.00, 90.00 degrees
Space group I-42d (No. 122)
Unique sites:
La: 0.000 0.000 0.000 [4 per cell]
Sn: 0.000 0.000 0.500 [4 per cell]
Bi: 0.226 0.250 0.625 [8 per cell]

Record 2
First-principles (PBE) data for a relaxed structure of HgBSO6, as listed in Alexandria.

Total magnetization (μB/cell): 1.034
Calculated total energy (eV per formula unit): -51.1
E_form (uncorrected) (meV per atom): -1133

Cell lengths 5.138, 5.409, 6.499 Å; angles 68.15, 69.39, 65.05 degrees
Space group P1 (No. 1)
Unique sites:
Hg: 0.000 0.000 0.000 [1 per cell]
B: 0.590 0.384 0.688 [1 per cell]
S: 0.488 0.554 0.272 [1 per cell]
O: 0.160 0.702 0.284 [1 per cell]
O: 0.366 0.330 0.861 [1 per cell]
O: 0.522 0.602 0.485 [1 per cell]
O: 0.571 0.252 0.308 [1 per cell]
O: 0.661 0.698 0.071 [1 per cell]
O: 0.874 0.260 0.703 [1 per cell]

Record 3
First-principles (PBE) data for a relaxed structure of Na2LiTl4Pb2, as listed in Alexandria.

Total magnetization (μB/cell): 0.000
Density of states at the Fermi level (states/eV/f.u.): 3.68
Calculated total energy (eV per formula unit): -22.5
ΔE_f (eV/atom): -0.114

Cell lengths 16.463, 3.624, 8.594 Å; angles 90.00, 101.96, 90.00 degrees
Space group C2/m (No. 12)
Unique sites:
Na: 0.114 0.000 0.119 [4 per cell]
Li: 0.000 0.000 0.500 [2 per cell]
Tl: 0.037 0.500 0.791 [4 per cell]
Tl: 0.211 0.000 0.808 [4 per cell]
Pb: 0.156 0.500 0.470 [4 per cell]

Record 4
First-principles (PBE) data for a relaxed structure of Ta2MnCr, as listed in Alexandria.

Total magnetization (μB/cell): 0.000
Density of states at the Fermi level (states/eV/f.u.): 2.86
Calculated total energy (eV per formula unit): -42.4
ΔE_f (eV/atom): 0.031

Cell lengths 3.069, 3.069, 6.288 Å; angles 90.00, 90.00, 90.00 degrees
Space group P4mm (No. 99)
Unique sites:
Ta: 0.000 0.000 0.000 [1 per cell]
Ta: 0.500 0.500 0.293 [1 per cell]
Mn: 0.500 0.500 0.757 [1 per cell]
Cr: 0.000 0.000 0.539 [1 per cell]

Record 5
First-principles (PBE) data for a relaxed structure of Mg2Si3, as listed in Alexandria.

Total magnetization (μB/cell): 0.000
Density of states at the Fermi level (states/eV/f.u.): 1.45
Calculated total energy (eV per formula unit): -18.9
E_form (uncorrected) (meV per atom): 102

Cell lengths 11.325, 3.594, 17.824 Å; angles 90.00, 92.19, 90.00 degrees
Space group C2/m (No. 12)
Unique sites:
Mg: 0.019 0.000 0.301 [4 per cell]
Mg: 0.156 0.500 0.448 [4 per cell]
Mg: 0.169 0.500 0.796 [4 per cell]
Mg: 0.182 0.000 0.055 [4 per cell]
Si: 0.013 0.000 0.857 [4 per cell]
Si: 0.072 0.500 0.950 [4 per cell]
Si: 0.076 0.000 0.552 [4 per cell]
Si: 0.135 0.500 0.176 [4 per cell]
Si: 0.157 0.500 0.640 [4 per cell]
Si: 0.215 0.500 0.305 [4 per cell]

Record 6
First-principles (PBE) data for a relaxed structure of CdInTe2, as listed in Alexandria.

Total magnetization (μB/cell): 0.000
Density of states at the Fermi level (states/eV/f.u.): 0.89
Calculated total energy (eV per formula unit): -9.8
E_form (uncorrected) (meV per atom): 42

Cell lengths 3.889, 4.963, 12.256 Å; angles 90.00, 90.00, 90.00 degrees
Space group Cmmm (No. 65)
Unique sites:
Cd: 0.000 0.000 0.000 [2 per cell]
In: 0.000 0.000 0.500 [2 per cell]
Te: 0.000 0.500 0.261 [4 per cell]

One value per record, in order, for theoretical density: 6.00; 3.81; 8.51; 13.14; 2.43; 6.77 g/cm3.